Entry 1:
Material: Pm2Dy3Er3
Method: DFT, GGA-PBE
State: relaxed

Output
* symmetry: R32
* calculated volume: 33.04 Å³/atom
* polymorph energy (0 for the lowest one): 117.8 meV per atom
* DFT formation energy: 0.14 eV per atom

a = 6.452 Å, b = 6.452 Å, c = 6.452 Å
α = 84.26°, β = 84.26°, γ = 95.74°
Fractional coordinates of all 8 atoms:
Pm1 0.702 0.702 0.298
Er1 0.500 0.190 0.190
Dy1 0.290 0.710 0.000
Er2 0.810 0.500 0.810
Dy2 0.000 0.290 0.290
Er3 0.190 0.810 0.500
Dy3 0.710 0.000 0.710
Pm2 0.298 0.298 0.702

=====

Entry 2:
Material: LiY2Au2
Method: DFT, GGA-PBE
State: relaxed

Output
* symmetry: Ibam
* calculated volume: 24.59 Å³/atom
* polymorph energy (0 for the lowest one): 83.1 meV per atom
* DFT formation energy: -0.60 eV per atom

a = 5.733 Å, b = 7.487 Å, c = 7.420 Å
α = 120.30°, β = 112.73°, γ = 90.00°
Fractional coordinates of all 10 atoms:
Y1 0.838 0.677 0.676
Au1 0.096 0.873 0.192
Y2 0.662 0.001 0.324
Y3 0.338 0.999 0.676
Au2 0.596 0.319 0.192
Au3 0.904 0.127 0.808
Y4 0.162 0.323 0.324
Li1 0.750 0.500 0.000
Li2 0.250 0.500 0.000
Au4 0.404 0.681 0.808

=====

| no. | theoretical density (g cm⁻³) |
| --- | --- |
| 1 | 8.04 |
| 2 | 7.82 |